No. 1
Density functional theory data (PBE) for Ho6TlZn after structural relaxation.

Output
Distance to the lowest polymorph of the same formula, meV/atom: 248.4
M_tot, μB per cell: 0.001

Cell: 6.8285 11.7814 6.8324 Å, 90.00 117.34 90.00°
Space group C2/m (No. 12)
One atom of each set of equivalent atoms:
Ho  0.2278  0.2053  0.2437 x8
Ho  0.2356  0.0000  0.7626 x4
Tl  0.0000  0.5000  0.5000 x2
Zn  0.0000  0.0000  0.0000 x2

***

No. 2
Density functional theory data (PBE) for Tb3Zn4Pd2 after structural relaxation.

Output
Distance to the lowest polymorph of the same formula, meV/atom: 54.4
M_tot, μB per cell: 0.000

Cell: 9.1736 4.7708 8.4434 Å, 90.00 100.48 90.00°
Space group C2/m (No. 12)
One atom of each set of equivalent atoms:
Tb  0.0000  0.0000  0.0000 x2
Tb  0.1224  0.5000  0.7109 x4
Zn  0.0730  0.0000  0.3803 x4
Zn  0.1966  0.5000  0.0758 x4
Pd  0.2052  0.5000  0.3815 x4